1.
Compound: AgMoAu2
Source: the Alexandria database
Functional: GGA-PBE
Structure: optimized geometry

Its crystal system is orthorhombic. For the total energy, the calculation gives -37.6 eV/cell. The energy above the most stable polymorph in this dataset comes out at 234 meV/atom. For the density of states at the Fermi level, the calculation gives 7.80 states/eV per cell.

It has space group Imm2 (No. 44), with a = 2.7859 Å, b = 5.0247 Å, c = 10.1781 Å, α = 90.00°, β = 90.00° and γ = 90.00°. The asymmetric unit holds Ag at (0.0000, 0.0000, 0.0000), Mo at (0.0000, 0.5000, 0.2462), Au at (0.0000, 0.0000, 0.5090) and Au at (0.0000, 0.5000, 0.7573).

2.
Compound: AgMoAu2
Source: the Alexandria database
Functional: GGA-PBE
Structure: optimized geometry

Its crystal system is trigonal. For the total energy, the calculation gives -57.5 eV/cell. The energy above the most stable polymorph in this dataset comes out at 138 meV/atom. For the density of states at the Fermi level, the calculation gives 12.85 states/eV per cell.

It has space group R3m (No. 160, hexagonal axes), with a = 2.9002 Å, b = 2.9002 Å, c = 28.6125 Å, α = 90.00°, β = 90.00° and γ = 120.00°. The asymmetric unit holds Ag at (0.0000, 0.0000, 0.0000), Mo at (0.0000, 0.0000, 0.2503), Au at (0.0000, 0.0000, 0.5039) and Au at (0.0000, 0.0000, 0.7513).

3.
Compound: AgMo3Au
Source: the Alexandria database
Functional: GGA-PBE
Structure: optimized geometry

Its crystal system is cubic. For the total energy, the calculation gives -27.2 eV/cell. The energy above the most stable polymorph in this dataset comes out at 0 meV/atom. For the density of states at the Fermi level, the calculation gives 6.94 states/eV per cell.

It has space group Pm-3m (No. 221), with a = 4.8520 Å, b = 4.8520 Å, c = 4.8520 Å, α = 90.00°, β = 90.00° and γ = 90.00°. The asymmetric unit holds Ag at (0.0000, 0.0000, 0.0000), Mo at (0.0000, 0.5000, 0.5000) and Au at (0.5000, 0.5000, 0.5000).

4.
Compound: Ag2MoAu
Source: the Alexandria database
Functional: GGA-PBE
Structure: optimized geometry

Its crystal system is orthorhombic. For the total energy, the calculation gives -35.8 eV/cell. The energy above the most stable polymorph in this dataset comes out at 247 meV/atom. For the density of states at the Fermi level, the calculation gives 5.17 states/eV per cell.

It has space group Cmmm (No. 65), with a = 5.8463 Å, b = 8.7555 Å, c = 2.7345 Å, α = 90.00°, β = 90.00° and γ = 90.00°. The asymmetric unit holds Ag at (0.2500, 0.2500, 0.0000), Mo at (0.0000, 0.0000, 0.5000) and Au at (0.0000, 0.5000, 0.5000).

5.
Compound: Ag2MoAu
Source: the Alexandria database
Functional: GGA-PBE
Structure: optimized geometry

Its crystal system is trigonal. For the total energy, the calculation gives -55.5 eV/cell. The energy above the most stable polymorph in this dataset comes out at 96 meV/atom. For the density of states at the Fermi level, the calculation gives 14.21 states/eV per cell.

It has space group R-3m (No. 166, hexagonal axes), with a = 2.8616 Å, b = 2.8616 Å, c = 29.2550 Å, α = 90.00°, β = 90.00° and γ = 120.00°. The asymmetric unit holds Ag at (0.0000, 0.0000, 0.2486), Mo at (0.0000, 0.0000, 0.5000) and Au at (0.0000, 0.0000, 0.0000).

6.
Compound: Ag2MoAu
Source: the Alexandria database
Functional: GGA-PBE
Structure: optimized geometry

Its crystal system is cubic. For the total energy, the calculation gives -69.3 eV/cell. The energy above the most stable polymorph in this dataset comes out at 391 meV/atom. For the density of states at the Fermi level, the calculation gives 22.03 states/eV per cell.

It has space group Fm-3m (No. 225), with a = 6.5304 Å, b = 6.5304 Å, c = 6.5304 Å, α = 90.00°, β = 90.00° and γ = 90.00°. The asymmetric unit holds Ag at (0.2500, 0.2500, 0.2500), Mo at (0.0000, 0.0000, 0.0000) and Au at (0.0000, 0.0000, 0.5000).

no.,formation enthalpy at 0 K (eV/atom)
1,0.36
2,0.27
3,2.28
4,0.48
5,0.33
6,0.62